Entry 1:
First-principles (PBE) data for a relaxed structure of ZnCdRhF6, as listed in the Alexandria database.

```
18
Lattice="-1.663 -0.736 5.157 -1.667 -3.422 -3.925 7.700 -5.670 1.673" Properties=species:S:1:pos:R:3 pbc="T T T"
Zn 0.259 -3.944 -0.480
Zn 4.111 -5.884 3.384
Cd 0.000 0.000 0.000
Cd 3.850 -2.835 0.836
Rh 0.261 -3.049 2.548
Rh 4.109 -6.779 0.357
F -1.150 -3.503 0.975
F 0.427 -1.970 -1.088
F 4.279 -3.897 2.821
F 3.942 -7.858 3.992
F 1.670 -3.524 0.980
F 1.693 -4.348 -1.921
F 5.546 -5.439 4.812
F 0.091 -5.932 0.084
F 2.677 -5.480 4.825
F -1.176 -4.389 -1.907
F 2.700 -6.305 1.925
F 5.520 -6.325 1.930
```

Summary:
For the formation energy from raw total energies, the calculation gives -1.806 eV per atom. The calculation puts the magnetization at 1.00 μB/f.u.

Entry 2:
First-principles (PBE) data for a relaxed structure of CeMg, as listed in the Alexandria database.

```
4
Lattice="-2.927 -4.515 2.116 -0.700 -5.735 -0.220 3.043 -2.579 4.249" Properties=species:S:1:pos:R:3 pbc="T T T"
Mg 1.476 -6.205 4.648
Mg -2.060 -6.624 1.496
Ce 1.182 -2.926 2.655
Ce -1.765 -9.903 3.490
```

Summary:
The calculation puts the formation energy at 0.00 eV per atom. The calculation puts the magnetization at 0.49 μB/f.u.

Entry 3:
First-principles (PBE) data for a relaxed structure of Cd2Ru2Cl, as listed in the Alexandria database.

```
5
Lattice="3.533 0.000 0.000 0.000 3.533 0.000 1.766 1.766 8.431" Properties=species:S:1:pos:R:3 pbc="T T T"
Ru 3.533 1.766 4.215
Ru 1.766 3.533 4.215
Cl 0.000 0.000 0.000
Cd 1.766 1.766 1.929
Cd 3.533 3.533 6.501
```

Summary:
For the formation energy from raw total energies, the calculation gives 0.329 eV per atom. The calculation puts the magnetization at 0.00 μB/f.u.

Entry 4:
First-principles (PBE) data for a relaxed structure of SeI2Cl6, as listed in the Alexandria database.

```
18
Lattice="7.738 1.378 0.903 1.023 10.067 1.269 1.512 1.632 9.952" Properties=species:S:1:pos:R:3 pbc="T T T"
Se 3.000 9.672 2.256
Se 7.272 3.405 9.868
I 1.238 4.112 3.914
I 5.165 8.286 7.748
I 9.034 8.965 8.210
I 5.108 4.791 4.376
Cl 3.244 3.313 5.324
Cl 3.292 6.791 8.699
Cl 7.028 9.763 6.800
Cl 6.981 6.286 3.425
Cl 6.557 3.301 7.809
Cl 7.872 5.503 9.874
Cl 3.716 9.775 4.315
Cl 2.400 7.574 2.250
Cl 7.524 1.738 2.591
Cl 6.694 10.703 11.347
Cl 2.748 11.339 9.533
Cl 3.578 2.373 0.777
```

Summary:
For the formation energy from raw total energies, the calculation gives -0.210 eV per atom. The calculation puts the magnetization at 0.00 μB/f.u.

Entry 5:
First-principles (PBE) data for a relaxed structure of Cs3NaSr, as listed in the Alexandria database.

```
5
Lattice="7.794 0.000 0.000 0.000 7.794 0.000 0.000 0.000 7.794" Properties=species:S:1:pos:R:3 pbc="T T T"
Cs 0.000 3.897 0.000
Cs 0.000 0.000 3.897
Cs 3.897 0.000 0.000
Sr 3.897 3.897 3.897
Na 0.000 0.000 0.000
```

Summary:
The calculation puts the formation energy at 0.23 eV per atom. The calculation puts the magnetization at 0.00 μB/f.u.

Entry 6:
First-principles (PBE) data for a relaxed structure of BePb3, as listed in the Alexandria database.

```
4
Lattice="-0.652 -5.422 2.246 4.966 0.719 -3.113 1.654 0.988 2.866" Properties=species:S:1:pos:R:3 pbc="T T T"
Pb 3.310 0.854 -0.124
Pb 0.501 -2.217 2.556
Pb 2.157 -2.351 -0.433
Be 0.000 0.000 0.000
```

Summary:
The calculation puts the formation energy at 0.54 eV per atom. The calculation puts the magnetization at 0.00 μB/f.u.

Entry 7:
First-principles (PBE) data for a relaxed structure of Li2GaPI, as listed in the Alexandria database.

```
5
Lattice="-2.315 1.823 4.084 -4.840 -1.279 -2.173 0.231 -4.543 2.159" Properties=species:S:1:pos:R:3 pbc="T T T"
I 0.000 0.000 0.000
P -2.420 -0.640 -1.086
Ga -3.462 -2.000 2.035
Li 0.116 -2.272 1.080
Li -1.157 0.911 2.042
```

Summary:
For the formation energy from raw total energies, the calculation gives 0.283 eV per atom. The calculation puts the magnetization at 0.00 μB/f.u.

Entry 8:
First-principles (PBE) data for a relaxed structure of Ca3ZnAg, as listed in the Alexandria database.

```
5
Lattice="5.709 0.000 0.000 0.000 5.709 0.000 0.000 0.000 5.709" Properties=species:S:1:pos:R:3 pbc="T T T"
Zn 2.855 2.855 2.855
Ca 0.000 2.855 0.000
Ca 0.000 0.000 2.855
Ca 2.855 0.000 0.000
Ag 0.000 0.000 0.000
```

Summary:
The calculation puts the formation energy at 0.09 eV per atom. The calculation puts the magnetization at 0.00 μB/f.u.

Entry 9:
First-principles (PBE) data for a relaxed structure of LaZrTa2, as listed in the Alexandria database.

```
4
Lattice="4.862 0.000 0.000 0.000 3.007 0.145 0.000 1.756 6.375" Properties=species:S:1:pos:R:3 pbc="T T T"
La 2.431 3.572 4.890
Ta 0.000 0.154 0.288
Ta 0.000 2.228 2.972
Zr 2.431 1.191 1.630
```

Summary:
The calculation puts the formation energy at 0.42 eV per atom. The calculation puts the magnetization at 0.00 μB/f.u.

Entry 10:
First-principles (PBE) data for a relaxed structure of MgCu2Cl, as listed in the Alexandria database.

```
4
Lattice="-0.659 1.001 -2.835 -2.451 -0.493 1.795 0.363 7.416 2.534" Properties=species:S:1:pos:R:3 pbc="T T T"
Cl -1.283 5.816 1.381
Cu 0.358 7.328 2.504
Cu 0.186 3.796 1.297
Mg -1.464 2.108 0.114
```

Summary:
For the formation energy from raw total energies, the calculation gives 0.056 eV per atom. The calculation puts the magnetization at 0.00 μB/f.u.

Entry 11:
First-principles (PBE) data for a relaxed structure of Zn2SiTc2, as listed in the Alexandria database.

```
10
Lattice="-5.969 0.258 1.389 0.288 -5.681 2.294 0.930 1.546 3.711" Properties=species:S:1:pos:R:3 pbc="T T T"
Zn -0.311 -2.946 3.599
Zn -3.244 -3.818 4.698
Zn -4.440 -0.931 3.795
Zn -1.506 -0.059 2.696
Si 0.000 0.000 0.000
Si -2.841 -2.711 1.842
Tc -1.895 -4.787 2.469
Tc -4.942 -3.420 2.664
Tc -3.786 -0.636 1.214
Tc -0.739 -2.002 1.019
```

Summary:
For the formation energy from raw total energies, the calculation gives -0.029 eV per atom. The calculation puts the magnetization at 0.00 μB/f.u.

Entry 12:
First-principles (PBE) data for a relaxed structure of UAsPdS, as listed in the Alexandria database.

```
8
Lattice="-0.713 -0.949 3.958 -1.689 -3.587 -1.164 7.769 -3.814 0.486" Properties=species:S:1:pos:R:3 pbc="T T T"
U 5.118 -3.163 2.321
U 1.449 -2.920 -0.439
As 5.475 -4.896 -0.187
As 1.093 -1.186 2.070
Pd -1.201 -2.268 1.397
Pd 0.000 0.000 0.000
S 3.884 -1.907 0.243
S 2.683 -4.175 1.640
```

Summary:
For the formation energy from raw total energies, the calculation gives -0.839 eV per atom. The calculation puts the magnetization at 1.04 μB/f.u.

magnetization of number 6 (BePb3)? 0.00 μB/f.u.